This record from Alexandria describes a geometry-optimized K2Tl5Pd4 structure. The functional is PBE.

Cell lengths 7.2816, 7.2816, 8.3861 Å; angles 120.21, 120.21, 70.30 degrees
Fractional coordinates of all 11 atoms:
K: 0.0934 0.0934 0.3392
K: 0.9066 0.9066 0.6608
Tl: 0.1102 0.5090 0.8685
Tl: 0.4910 0.8898 0.1315
Tl: 0.5000 0.5000 0.5000
Tl: 0.5090 0.1102 0.8685
Tl: 0.8898 0.4910 0.1315
Pd: 0.2640 0.2640 0.1038
Pd: 0.4620 0.4620 0.7960
Pd: 0.5380 0.5380 0.2040
Pd: 0.7360 0.7360 0.8962

This record from Alexandria describes a geometry-optimized K4Tl4Pd structure. The functional is PBE.

Cell lengths 9.4498, 9.4498, 9.4498 Å; angles 140.20, 140.20, 57.56 degrees
Fractional coordinates of all 9 atoms:
K: 0.1086 0.1086 0.5443
K: 0.4358 0.8914 0.0000
K: 0.5642 0.5642 0.4557
K: 0.8914 0.4358 0.0000
Tl: 0.1552 0.7203 0.0000
Tl: 0.2797 0.2797 0.4349
Tl: 0.7203 0.1552 0.0000
Tl: 0.8448 0.8448 0.5651
Pd: 0.5000 0.5000 0.0000

This record from Alexandria describes a geometry-optimized KTl8Pd2 structure. The functional is PBE.

Output
Energy above the most stable polymorph in this dataset, kJ/mol of formula units: 0.0

Cell lengths 7.8740, 7.8740, 5.4940 Å; angles 97.41, 97.41, 107.74 degrees
Fractional coordinates of all 11 atoms:
K: 0.0000 0.0000 0.0000
Tl: 0.0814 0.3405 0.6050
Tl: 0.2698 0.7302 0.0000
Tl: 0.3405 0.0814 0.6050
Tl: 0.3933 0.3933 0.2088
Tl: 0.6067 0.6067 0.7912
Tl: 0.6595 0.9186 0.3950
Tl: 0.7302 0.2698 0.0000
Tl: 0.9186 0.6595 0.3950
Pd: 0.3038 0.6962 0.5000
Pd: 0.6962 0.3038 0.5000

This record from Alexandria describes a geometry-optimized KTlPd2 structure. The functional is PBE.

Cell lengths 6.3831, 6.3831, 6.3831 Å; angles 43.72, 43.72, 43.72 degrees
Fractional coordinates of all 4 atoms:
K: 0.0000 0.0000 0.0000
Tl: 0.5000 0.5000 0.5000
Pd: 0.1846 0.1846 0.1846
Pd: 0.8154 0.8154 0.8154

This record from Alexandria describes a geometry-optimized KTl4Pd structure. The functional is PBE.

Cell lengths 9.5614, 4.1971, 8.7332 Å; angles 90.00, 90.00, 90.00 degrees
Fractional coordinates of all 12 atoms:
K: 0.2500 0.0000 0.0896
K: 0.7500 0.0000 0.9104
Tl: 0.0000 0.0000 0.5000
Tl: 0.0658 0.5000 0.8040
Tl: 0.2500 0.5000 0.4228
Tl: 0.4342 0.5000 0.8040
Tl: 0.5000 0.0000 0.5000
Tl: 0.5658 0.5000 0.1960
Tl: 0.7500 0.5000 0.5772
Tl: 0.9342 0.5000 0.1960
Pd: 0.2500 0.0000 0.6779
Pd: 0.7500 0.0000 0.3221

This record from Alexandria describes a geometry-optimized KTl3Pd structure. The functional is PBE.

Output
Energy above the most stable polymorph in this dataset, kJ/mol of formula units: 553.0

Cell lengths 6.0004, 6.0004, 6.0004 Å; angles 90.00, 90.00, 90.00 degrees
Fractional coordinates of all 5 atoms:
K: 0.0000 0.0000 0.0000
Tl: 0.0000 0.0000 0.5000
Tl: 0.0000 0.5000 0.0000
Tl: 0.5000 0.0000 0.0000
Pd: 0.5000 0.5000 0.5000

ΔE_f, respectively: -0.1293, -0.0921, -0.0587, -0.1769, -0.1307, 1.0007 eV/atom.